No. 1
Entry from the Alexandria database: a relaxed structure of TbPmSbN (GGA-PBE).

Cell: 7.577 7.577 7.577 Å, 152.41 151.52 40.07°
Fractional positions:
Tb: 0.000 0.000 0.000
Pm: 0.695 0.695 0.000
Sb: 0.351 0.351 0.000
N: 0.096 0.596 0.500

Uncorrected formation energy: -1.09 eV per atom

No. 2
Entry from the Alexandria database: a relaxed structure of Np2FeTc (GGA-PBE).

Cell: 3.290 3.290 6.717 Å, 90.00 90.00 90.00°
Fractional positions:
Np: 0.000 0.000 0.240
Np: 0.000 0.000 0.760
Fe: 0.500 0.500 0.000
Tc: 0.500 0.500 0.500

Energy of formation from the pure elements: 0.208 eV/atom
E above lowest polymorph: 0 meV per atom

No. 3
Entry from the Alexandria database: a relaxed structure of Ti2SbAu (GGA-PBE).

Cell: 4.182 4.182 4.134 Å, 90.00 90.00 90.00°
Fractional positions:
Ti: 0.000 0.500 0.000
Ti: 0.500 0.000 0.000
Sb: 0.000 0.000 0.500
Au: 0.500 0.500 0.500

Uncorrected formation energy: -0.37 eV per atom

No. 4
Entry from the Alexandria database: a relaxed structure of BiN (GGA-PBE).

Cell: 3.574 14.818 4.148 Å, 90.00 90.00 90.00°
Fractional positions:
Bi: 0.250 0.080 0.244
Bi: 0.250 0.420 0.244
Bi: 0.250 0.750 0.253
Bi: 0.750 0.250 0.747
Bi: 0.750 0.580 0.756
Bi: 0.750 0.920 0.756
N: 0.250 0.250 0.113
N: 0.250 0.588 0.418
N: 0.250 0.912 0.418
N: 0.750 0.088 0.582
N: 0.750 0.412 0.582
N: 0.750 0.750 0.887

Uncorrected formation energy: 0.70 eV per atom

No. 5
Entry from the Alexandria database: a relaxed structure of NaNb2Tc (GGA-PBE).

Cell: 4.617 4.617 4.617 Å, 60.00 60.00 60.00°
Fractional positions:
Na: 0.000 0.000 0.000
Nb: 0.250 0.250 0.250
Nb: 0.750 0.750 0.750
Tc: 0.500 0.500 0.500

Energy of formation from the pure elements: 0.542 eV/atom
E above lowest polymorph: 0 meV per atom

No. 6
Entry from the Alexandria database: a relaxed structure of PrSm4Zn (GGA-PBE).

Cell: 3.654 3.654 13.947 Å, 90.00 90.00 90.00°
Fractional positions:
Pr: 0.000 0.000 0.000
Sm: 0.000 0.000 0.371
Sm: 0.000 0.000 0.629
Sm: 0.500 0.500 0.186
Sm: 0.500 0.500 0.814
Zn: 0.500 0.500 0.500

Energy of formation from the pure elements: -0.096 eV/atom
E above lowest polymorph: 0 meV per atom

No. 7
Entry from the Alexandria database: a relaxed structure of CaMgPb2 (GGA-PBE).

Cell: 5.299 5.299 6.521 Å, 101.02 101.02 40.46°
Fractional positions:
Ca: 0.000 0.000 0.000
Mg: 0.500 0.500 0.500
Pb: 0.244 0.244 0.723
Pb: 0.756 0.756 0.277

Energy of formation from the pure elements: -0.262 eV/atom

No. 8
Entry from the Alexandria database: a relaxed structure of Cd8Au (GGA-PBE).

Cell: 7.104 7.104 7.104 Å, 95.17 95.17 145.05°
Fractional positions:
Cd: 0.000 0.331 0.331
Cd: 0.000 0.669 0.669
Cd: 0.331 0.000 0.331
Cd: 0.338 0.338 0.676
Cd: 0.338 0.662 0.000
Cd: 0.662 0.338 0.000
Cd: 0.662 0.662 0.324
Cd: 0.669 0.000 0.669
Au: 0.000 0.000 0.000

Energy of formation from the pure elements: -0.026 eV/atom

| no. | energy (eV/atom) |
| --- | --- |
| 1 | -6.55 |
| 2 | -10.97 |
| 3 | -6.17 |
| 4 | -5.40 |
| 5 | -7.41 |
| 6 | -4.25 |
| 7 | -3.02 |
| 8 | -1.20 |